No. 1
Density functional theory data (PBE-GGA) for an optimized crystal structure of CsCaCoIr2.

Results
E_form: 0.97 eV per atom
Energy above the most stable polymorph in this dataset: 0.00 eV/f.u.
Total energy: -4.5661 eV per atom

Cell lengths 4.7455, 5.2062, 4.7455 Å; angles 90.00, 90.00, 90.00 degrees
Site moments in Bohr magnetons follow the coordinates.
Fractional positions:
Co: 0.0000 0.0000 0.0000  1.55
Ca: 0.5000 0.5000 0.5000  -0.02
Ir: 0.0000 0.0000 0.5000  0.70
Cs: 0.0000 0.5000 0.0000  0.00
Ir: 0.5000 0.0000 0.0000  0.33

=====

No. 2
Density functional theory data (PBE-GGA) for an optimized crystal structure of CsCa2CoOs.

Results
E_form: 0.66 eV per atom
Total energy: -3.9826 eV per atom

Cell lengths 5.6853, 4.6307, 5.6853 Å; angles 90.00, 90.00, 90.00 degrees
Site moments in Bohr magnetons follow the coordinates.
Fractional positions:
Cs: 0.5000 0.5000 0.5000  -0.01
Ca: 0.0000 0.0000 0.5000  -0.01
Co: 0.0000 0.5000 0.0000  0.86
Ca: 0.5000 0.0000 0.0000  -0.01
Os: 0.0000 0.0000 0.0000  0.05

=====

No. 3
Density functional theory data (PBE-GGA) for an optimized crystal structure of CsCaCoRe2.

Results
E_form: 2.91 eV per atom
Total energy: -4.0650 eV per atom

Cell lengths 5.0333, 4.9895, 5.0333 Å; angles 90.00, 90.00, 90.00 degrees
Site moments in Bohr magnetons follow the coordinates.
Fractional positions:
Co: 0.0000 0.5000 0.0000  1.78
Re: 0.5000 0.0000 0.0000  2.22
Ca: 0.0000 0.0000 0.0000  -0.01
Cs: 0.5000 0.5000 0.5000  0.06
Re: 0.0000 0.0000 0.5000  2.05

=====

No. 4
Density functional theory data (PBE-GGA) for an optimized crystal structure of Cs2CaZrCo.

Results
E_form: 1.60 eV per atom
Total energy: -2.2678 eV per atom

Cell lengths 6.9271, 6.3154, 6.9271 Å; angles 90.00, 90.00, 90.00 degrees
Site moments in Bohr magnetons follow the coordinates.
Fractional positions:
Zr: 0.0000 0.0000 0.0000  1.89
Co: 0.5000 0.5000 0.5000  2.11
Ca: 0.0000 0.5000 0.0000  0.18
Cs: 0.0000 0.0000 0.5000  0.08
Cs: 0.5000 0.0000 0.0000  0.06